Record 1
PBE Pr10Sm4Pu, optimized geometry; E_form = 0.331 eV per atom; space group = I4/m, No. 87
1.0
-5.7804 -6.1888 -6.4214
-1.3900 -8.7084 0.8494
-8.6466 -1.7926 0.7164
Pr Sm Pu
10 4 1
direct
0.2500 0.5000 0.5000
0.5431 0.3234 0.9105
0.1335 0.0895 0.3234
0.5463 0.9105 0.6766
0.7771 0.6766 0.0895
0.4569 0.6766 0.0895
0.7500 0.5000 0.5000
0.2229 0.3234 0.9105
0.4537 0.0895 0.3234
0.8665 0.9105 0.6766
0.3199 0.7336 0.6267
0.9465 0.3733 0.7336
0.0535 0.6267 0.2664
0.6801 0.2664 0.3733
0.0000 0.0000 0.0000

***

Record 2
PBE Ti2NbZn2, optimized geometry; E_form = -0.009 eV per atom; space group = Cmmm, No. 65
1.0
-2.0965 0.9093 1.6563
-0.1308 -2.4983 1.2061
6.9089 1.8312 7.7398
Ti Nb Zn
2 1 2
direct
0.0000 0.1933 0.6133
0.0000 0.8067 0.3867
0.0000 0.0000 0.0000
0.5000 0.4011 0.1978
0.5000 0.5989 0.8022

***

Record 3
PBE Rb2ZrP, optimized geometry; E_form = 0.218 eV per atom; space group = I-42d, No. 122
1.0
13.2183 0.0000 0.0000
0.0000 13.2183 0.0000
6.6092 6.6092 2.5321
P Rb Zr
2 4 2
direct
0.5000 0.5000 0.0000
0.2500 0.7500 0.5000
0.4478 0.1250 0.2500
0.3022 0.6250 0.2500
0.3750 0.5522 0.7500
0.8750 0.6978 0.7500
0.0000 0.0000 0.0000
0.7500 0.2500 0.5000

***

Record 4
PBE Pm3DyHo2Er6, optimized geometry; E_form = 0.020 eV per atom; space group = C2/m, No. 12
1.0
6.1484 0.0007 -0.0016
-3.0721 5.3259 -0.0016
-1.0190 -1.7644 11.5385
Pm Dy Ho Er
3 1 2 6
direct
0.1666 0.8334 0.5000
0.8334 0.1666 0.5000
0.5000 0.5000 0.5000
0.0000 0.0000 0.0000
0.3333 0.6667 0.0000
0.6667 0.3333 0.0000
0.9175 0.5841 0.7530
0.7491 0.7491 0.2469
0.0825 0.4159 0.2470
0.5841 0.9175 0.7530
0.2509 0.2509 0.7531
0.4159 0.0825 0.2470

***

Record 5
PBE DyZnNi2H, optimized geometry; final energy = -45.4 eV per cell; space group = Cmcm, No. 63
1.0
-0.4481 -1.5076 -3.4081
4.9805 -0.9972 1.8532
-2.2720 -5.9230 2.9188
Dy Zn Ni H
2 2 4 2
direct
0.4429 0.8858 0.7500
0.5571 0.1142 0.2500
0.7242 0.4483 0.7500
0.2758 0.5517 0.2500
0.1565 0.3131 0.9443
0.8435 0.6869 0.0557
0.1565 0.3131 0.5557
0.8435 0.6869 0.4443
0.0000 0.0000 0.0000
0.0000 0.0000 0.5000

***

Record 6
PBE Tl4HI2, optimized geometry; final energy = -16.9 eV per cell; space group = I4/mmm, No. 139
1.0
-3.7359 -0.8002 3.8061
3.8854 -0.5338 3.7016
-0.3468 9.0354 -2.2614
I H Tl
2 1 4
direct
0.6406 0.6406 0.2812
0.3594 0.3594 0.7188
0.0000 0.0000 0.0000
0.8544 0.8544 0.7089
0.1456 0.1456 0.2911
0.0000 0.5000 0.0000
0.5000 0.0000 0.0000

***

Record 7
PBE NbCr3Cu2S8, optimized geometry; space group = Pmc2_1, No. 26; formation energy from raw total energies = -632 meV/atom
1.0
-5.5707 1.3128 -0.0558
-1.4471 -5.9942 3.4479
1.2488 5.7464 10.5143
Nb Cr Cu S
2 6 4 16
direct
0.7746 0.5000 0.2451
0.2254 0.5000 0.7451
0.2569 0.7533 0.9997
0.7431 0.7533 0.4997
0.7431 0.2467 0.4997
0.2569 0.2467 0.9997
0.7308 0.0000 0.7564
0.2692 0.0000 0.2564
0.8566 0.5000 0.9009
0.6656 0.0000 0.0880
0.3344 0.0000 0.5880
0.1434 0.5000 0.4009
0.0126 0.7643 0.8318
0.4847 0.7466 0.1687
0.5153 0.7466 0.6687
0.9874 0.7643 0.3318
0.9874 0.2357 0.3318
0.5153 0.2534 0.6687
0.4847 0.2534 0.1687
0.0126 0.2357 0.8318
0.4919 0.0000 0.9199
0.0161 0.5000 0.0826
0.9839 0.5000 0.5826
0.5081 0.0000 0.4199
0.4699 0.5000 0.9180
0.0518 0.0000 0.0886
0.9482 0.0000 0.5886
0.5301 0.5000 0.4180

***

Record 8
PBE LiFe2Cu2, optimized geometry; E_form = 0.205 eV per atom; space group = P4/mbm, No. 127
1.0
-2.5349 0.3223 6.8003
6.6263 -1.5480 2.5434
0.5412 2.4568 0.0853
Fe Cu Li
4 4 2
direct
0.3843 0.8843 0.0000
0.8843 0.6157 0.0000
0.6157 0.1157 0.0000
0.1157 0.3843 0.0000
0.1785 0.6785 0.5000
0.6785 0.8215 0.5000
0.8215 0.3215 0.5000
0.3215 0.1785 0.5000
0.0000 0.0000 0.0000
0.5000 0.5000 0.0000